[1]
Below is a relaxed structure of MnAs2CSe, with properties calculated at the GGA-PBE level.

The structure in extended XYZ format:
```
5
Lattice="4.201 0.000 0.000 0.000 4.201 0.000 0.000 0.000 4.362" Properties=species:S:1:pos:R:3 pbc="T T T"
As 2.101 0.000 0.000
C 0.000 0.000 0.000
Mn 2.101 2.101 2.181
Se 0.000 0.000 2.181
As 0.000 2.101 0.000
```

Output
The value obtained for the energy above the lowest structure with this stoichiometry is 0 meV per atom. The calculation puts the uncorrected formation energy at 1370.0 meV/atom. Its symmetry is P4/mmm (123).

[2]
Below is a relaxed structure of Ce2CuH, with properties calculated at the GGA-PBE level.

The structure in extended XYZ format:
```
4
Lattice="-1.293 0.726 3.165 1.989 -0.433 2.842 2.603 6.979 1.392" Properties=species:S:1:pos:R:3 pbc="T T T"
Ce 0.718 1.508 1.877
Cu 1.642 3.614 3.702
Ce 2.113 5.556 1.518
H 0.476 0.230 4.002
```

Output
The value obtained for the energy above the lowest structure with this stoichiometry is 0 meV per atom. Its symmetry is R3m (160).

[3]
Below is a relaxed structure of CeHPd3, with properties calculated at the GGA-PBE level.

The structure in extended XYZ format:
```
5
Lattice="-1.853 -0.778 3.734 -3.599 -1.020 -1.998 1.265 -4.042 -0.214" Properties=species:S:1:pos:R:3 pbc="T T T"
Pd -0.927 -0.389 1.867
Ce -2.094 -2.920 0.761
Pd -1.799 -0.510 -0.999
H 0.000 0.000 0.000
Pd 0.632 -2.021 -0.107
```

Output
Its symmetry is Pm-3m (221).

[4]
Below is a relaxed structure of Er2TaAl, with properties calculated at the GGA-PBE level.

The structure in extended XYZ format:
```
4
Lattice="-0.736 2.878 -1.012 -2.626 0.457 -1.655 -6.684 2.975 8.453" Properties=species:S:1:pos:R:3 pbc="T T T"
Al -5.023 3.155 2.893
Er -5.160 2.465 5.893
Ta 0.000 0.000 0.000
Er -4.886 3.846 -0.108
```

Output
The calculation puts the formation energy at 0.46 eV per atom. Its symmetry is R-3m (166).

[5]
Below is a relaxed structure of PmTmMgSn, with properties calculated at the GGA-PBE level.

The structure in extended XYZ format:
```
4
Lattice="5.327 0.000 0.000 2.663 4.613 0.000 2.663 1.538 4.349" Properties=species:S:1:pos:R:3 pbc="T T T"
Tm 5.327 3.076 2.175
Pm 0.000 0.000 0.000
Sn 2.663 1.538 1.087
Mg 7.990 4.613 3.262
```

Output
The calculation puts the formation energy at -0.39 eV per atom. Its symmetry is F-43m (216).

[6]
Below is a relaxed structure of Sr3Ag8Pd3, with properties calculated at the GGA-PBE level.

The structure in extended XYZ format:
```
14
Lattice="4.456 0.000 1.177 1.758 8.231 2.366 0.077 0.448 8.731" Properties=species:S:1:pos:R:3 pbc="T T T"
Ag 2.990 1.171 6.724
Sr 3.145 4.340 6.137
Pd 0.426 2.064 7.410
Sr 4.005 1.492 2.882
Ag 3.918 5.464 3.214
Ag 3.301 7.508 5.550
Ag 5.143 6.956 7.596
Ag 4.676 4.793 9.364
Sr 2.285 7.188 9.392
Ag 1.615 3.886 2.910
Ag 1.147 1.723 4.678
Pd 1.409 6.616 3.687
Pd 2.228 0.000 0.589
Ag 2.373 3.215 9.061
```

Output
The calculation puts the formation energy at -0.27 eV per atom. Its symmetry is Immm (71).

How do the records compare in electronic total energy? In the order shown, they have -4.87 -4.88 -5.49 -5.72 -4.10 -3.37 eV/atom.